VASP calculation (PBE) on crystalline TbDy2ThP4 at its relaxed geometry.

Properties
Space-group type ... P2/m, No. 10
Formation energy ... -1.616 eV per atom
Magnetization ... 0.000 μB per atom
DOS(E_F) ... 1.47 states/eV/cell

abc: 4.0555 7.0045 7.0084
angles: 70.52 90.00 90.00
Element x y z (fractional)
Tb (0.0000, 0.5000, 0.5000)
Dy (0.0000, 0.0000, 0.0000)
Dy (0.5000, 0.0000, 0.5000)
Th (0.5000, 0.5000, 0.0000)
P (0.0000, 0.7551, 0.7457)
P (0.0000, 0.2449, 0.2543)
P (0.5000, 0.7527, 0.2509)
P (0.5000, 0.2473, 0.7491)

VASP calculation (PBE) on crystalline Cr2CuIr at its relaxed geometry.

Properties
Space-group type ... P4mm, No. 99
Formation energy ... 0.168 eV per atom
Magnetization ... 0.000 μB per atom
DOS(E_F) ... 5.19 states/eV/cell

abc: 2.6293 2.6293 7.3854
angles: 90.00 90.00 90.00
Element x y z (fractional)
Cr (0.0000, 0.0000, 0.9955)
Cr (0.5000, 0.5000, 0.2489)
Cu (0.0000, 0.0000, 0.4937)
Ir (0.5000, 0.5000, 0.7619)

VASP calculation (PBE) on crystalline Cs3KF at its relaxed geometry.

Properties
Space-group type ... Pm-3m, No. 221
Polymorph energy (0 for the lowest one) ... 0.749 eV/atom
Magnetization ... 0.000 μB per atom
DOS(E_F) ... 8.63 states/eV/cell
Raw formation energy ... -1.482 eV/f.u.

abc: 8.3620 8.3620 8.3620
angles: 90.00 90.00 90.00
Element x y z (fractional)
Cs (0.0000, 0.5000, 0.0000)
Cs (0.0000, 0.0000, 0.5000)
Cs (0.5000, 0.0000, 0.0000)
K (0.0000, 0.0000, 0.0000)
F (0.5000, 0.5000, 0.5000)

VASP calculation (PBE) on crystalline KCoP2 at its relaxed geometry.

Properties
Space-group type ... Cm, No. 8
Polymorph energy (0 for the lowest one) ... 0.006 eV/atom
Formation energy ... -0.334 eV per atom
Magnetization ... 0.000 μB per atom
DOS(E_F) ... 1.27 states/eV/cell

abc: 3.8052 3.8052 6.9758
angles: 71.59 71.59 54.55
Element x y z (fractional)
Co (0.4304, 0.4304, 0.7203)
K (0.2337, 0.2337, 0.2585)
P (0.0615, 0.0615, 0.8786)
P (0.7743, 0.7743, 0.6426)

VASP calculation (PBE) on crystalline Ac12SmSn6 at its relaxed geometry.

Properties
Space-group type ... R-3, No. 148
Formation energy ... -0.249 eV per atom
Magnetization ... 0.000 μB per atom
DOS(E_F) ... 25.98 states/eV/cell

abc: 9.8927 9.8927 9.8927
angles: 107.64 107.64 107.64
Element x y z (fractional)
Ac (0.8767, 0.6365, 0.5256)
Ac (0.5256, 0.8767, 0.6365)
Ac (0.6365, 0.5256, 0.8767)
Ac (0.1233, 0.3635, 0.4744)
Ac (0.4744, 0.1233, 0.3635)
Ac (0.3635, 0.4744, 0.1233)
Ac (0.0083, 0.8747, 0.3121)
Ac (0.1253, 0.6879, 0.9917)
Ac (0.6879, 0.9917, 0.1253)
Ac (0.9917, 0.1253, 0.6879)
Ac (0.8747, 0.3121, 0.0083)
Ac (0.3121, 0.0083, 0.8747)
Sm (0.0000, 0.0000, 0.0000)
Sn (0.6656, 0.8246, 0.3689)
Sn (0.6311, 0.3344, 0.1754)
Sn (0.1754, 0.6311, 0.3344)
Sn (0.3344, 0.1754, 0.6311)
Sn (0.3689, 0.6656, 0.8246)
Sn (0.8246, 0.3689, 0.6656)

VASP calculation (PBE) on crystalline LiVAs at its relaxed geometry.

Properties
Space-group type ... F-43m, No. 216
Polymorph energy (0 for the lowest one) ... 0.585 eV/atom
Formation energy ... 0.009 eV per atom
Magnetization ... 1.002 μB per atom
DOS(E_F) ... 1.14 states/eV/cell

abc: 4.2351 4.2351 4.2351
angles: 60.00 60.00 60.00
Site moments in Bohr magnetons follow the coordinates.
Element x y z (fractional)
As (0.7500, 0.7500, 0.7500)  -0.14
V (0.0000, 0.0000, 0.0000)  2.56
Li (0.2500, 0.2500, 0.2500)  0.09